[1]
! BaCa2Cd2 | Alexandria via LeMat-Bulk | PBE-GGA | relaxed; values from VASP
! energy relative to the elements	-0.209	eV per atom
! M_tot	0.000	μB per formula unit
! energy above the most stable polymorph in this dataset	29.0	meV/atom
&SYSTEM
  ibrav = 0, nat = 5, ntyp = 3
/
ATOMIC_SPECIES
Ba 137.33 Ba.upf
Ca 40.08 Ca.upf
Cd 112.41 Cd.upf
CELL_PARAMETERS angstrom
-2.5789 2.5789 7.1105
2.5789 -2.5789 7.1105
2.5789 2.5789 -7.1105
ATOMIC_POSITIONS angstrom
Ba 0.0000 0.0000 0.0000
Ca 2.5789 0.0000 3.5553
Ca 0.0000 2.5789 3.5553
Cd 0.0000 0.0000 5.6504
Cd 0.0000 0.0000 8.5707

[2]
! MgAsSe3 | Alexandria via LeMat-Bulk | PBE-GGA | relaxed; values from VASP
! raw formation energy	0.130	eV/atom
! M_tot	0.000	μB per formula unit
&SYSTEM
  ibrav = 0, nat = 5, ntyp = 3
/
ATOMIC_SPECIES
Mg 24.30 Mg.upf
As 74.92 As.upf
Se 78.96 Se.upf
CELL_PARAMETERS angstrom
5.0397 0.0000 0.0000
0.0000 5.0397 0.0000
0.0000 0.0000 5.0397
ATOMIC_POSITIONS angstrom
Mg 0.0000 0.0000 0.0000
As 2.5199 2.5199 2.5199
Se 0.0000 2.5199 2.5199
Se 2.5199 0.0000 2.5199
Se 2.5199 2.5199 0.0000

[3]
! Th2TaTcN6 | Alexandria via LeMat-Bulk | PBE-GGA | relaxed; values from VASP
! raw formation energy	-0.992	eV/atom
! M_tot	0.000	μB per formula unit
&SYSTEM
  ibrav = 0, nat = 10, ntyp = 4
/
ATOMIC_SPECIES
Th 232.04 Th.upf
Ta 180.95 Ta.upf
Tc 98.00 Tc.upf
N 14.01 N.upf
CELL_PARAMETERS angstrom
5.5398 0.0000 0.0000
0.0000 5.5398 0.0000
0.0000 0.0000 4.7099
ATOMIC_POSITIONS angstrom
Th 0.0000 2.7699 0.0000
Th 2.7699 0.0000 0.0000
Ta 0.0000 0.0000 2.7726
Tc 2.7699 2.7699 2.6769
N 0.0000 0.0000 0.8737
N 1.4014 1.4014 3.3934
N 1.4014 4.1384 3.3934
N 2.7699 2.7699 0.9440
N 4.1384 1.4014 3.3934
N 4.1384 4.1384 3.3934

[4]
! TlSnPdSe3 | Alexandria via LeMat-Bulk | PBE-GGA | relaxed; values from VASP
! raw formation energy	-0.302	eV/atom
! M_tot	0.000	μB per formula unit
&SYSTEM
  ibrav = 0, nat = 12, ntyp = 4
/
ATOMIC_SPECIES
Tl 204.38 Tl.upf
Sn 118.71 Sn.upf
Pd 106.42 Pd.upf
Se 78.96 Se.upf
CELL_PARAMETERS angstrom
7.5127 0.0000 0.0000
0.0000 3.8489 0.0000
-3.7223 0.0000 10.7659
ATOMIC_POSITIONS angstrom
Tl -0.7084 0.9622 2.3070
Tl 4.4989 2.8867 8.4589
Sn 3.1533 2.8867 1.6322
Sn 0.6371 0.9622 9.1337
Pd 0.6218 2.8867 6.7485
Pd 3.1686 0.9622 4.0174
Se -0.9998 0.9622 6.5955
Se 1.8685 0.9622 0.0278
Se 1.5101 2.8867 3.8746
Se 2.2803 0.9622 6.8913
Se 1.9219 2.8867 10.7381
Se 4.7902 2.8867 4.1704

[5]
! YScBiTe | Alexandria via LeMat-Bulk | PBE-GGA | relaxed; values from VASP
! raw formation energy	-0.970	eV/atom
! M_tot	0.367	μB per formula unit
&SYSTEM
  ibrav = 0, nat = 4, ntyp = 4
/
ATOMIC_SPECIES
Y 88.91 Y.upf
Sc 44.96 Sc.upf
Bi 208.98 Bi.upf
Te 127.60 Te.upf
CELL_PARAMETERS angstrom
2.1168 1.2221 7.4313
-2.1168 1.2221 7.4313
0.0000 -2.4443 7.4313
ATOMIC_POSITIONS angstrom
Y 0.0000 0.0000 0.0000
Sc 0.0000 0.0000 18.4590
Bi 0.0000 0.0000 9.3925
Te 0.0000 0.0000 5.4044

[6]
! CsTe2As2 | Alexandria via LeMat-Bulk | PBE-GGA | relaxed; values from VASP
! raw formation energy	-0.112	eV/atom
! M_tot	0.000	μB per formula unit
! energy above the most stable polymorph in this dataset	193.5	meV/atom
&SYSTEM
  ibrav = 0, nat = 5, ntyp = 3
/
ATOMIC_SPECIES
Cs 132.91 Cs.upf
Te 127.60 Te.upf
As 74.92 As.upf
CELL_PARAMETERS angstrom
-2.9285 2.9285 4.7518
2.9285 -2.9285 4.7518
2.9285 2.9285 -4.7518
ATOMIC_POSITIONS angstrom
Cs 0.0000 0.0000 0.0000
Te 2.9285 0.0000 2.3759
Te 0.0000 2.9285 2.3759
As 0.0000 0.0000 3.4491
As 0.0000 0.0000 6.0545